# 1
Here is crystalline Mg2TlCd at its relaxed geometry from Alexandria. Energies are from PBE-GGA.

abc: 3.350 5.219 10.720
angles: 88.96 89.72 89.85
Space group P-1 (No. 2)
Asymmetric unit:
Mg 0.001 0.200 0.372 [2 per cell]
Mg 0.002 0.738 0.154 [2 per cell]
Tl 0.496 0.759 0.884 [2 per cell]
Cd 0.498 0.297 0.608 [2 per cell]

Summary:
Magnetization in μB/cell: 0.0
ΔH_f (0 K) in meV per atom: -60

# 2
Here is crystalline LiGaSn at its relaxed geometry from Alexandria. Energies are from PBE-GGA.

abc: 4.308 4.226 13.457
angles: 90.00 90.00 90.00
Space group Amm2 (No. 38)
Asymmetric unit:
Li 0.000 0.000 0.000 [2 per cell]
Li 0.500 0.000 0.174 [2 per cell]
Ga 0.000 0.000 0.665 [2 per cell]
Ga 0.500 0.000 0.829 [2 per cell]
Sn 0.000 0.000 0.329 [2 per cell]
Sn 0.500 0.000 0.522 [2 per cell]

Summary:
Magnetization in μB/cell: 0.0
ΔH_f (0 K) in meV per atom: -163